# 1
CoSb2TeN | GGA-PBE | optimized geometry

The energy above the lowest structure with this stoichiometry is 0.000 eV/atom. The value obtained for the total energy is -4.44 eV/atom.

Structure (POSCAR):
```
CoSb2TeN
1.0
-3.6055 2.9612 0.5083
-0.6734 -1.5703 4.3712
2.8594 3.2081 1.5930
Sb N Te Co
2 1 1 1
direct
0.0000 0.5000 0.0000
0.5000 0.0000 0.0000
0.0000 0.0000 0.0000
0.0000 0.0000 0.5000
0.5000 0.5000 0.5000
```



# 2
Ag2TeO | GGA-PBE | optimized geometry

The energy above the lowest structure with this stoichiometry is 0.290 eV/atom. The value obtained for the total energy is -3.05 eV/atom.

Structure (POSCAR):
```
Ag2TeO
1.0
0.0000 3.3155 3.3155
3.3155 0.0000 3.3155
3.3155 3.3155 0.0000
O Ag Te
1 2 1
direct
0.0000 0.0000 0.0000
0.2500 0.2500 0.2500
0.7500 0.7500 0.7500
0.5000 0.5000 0.5000
```



# 3
LiYPuS3 | GGA-PBE | optimized geometry

The value obtained for the total energy is -7.53 eV/atom.

Structure (POSCAR):
```
LiYPuS3
1.0
3.8117 0.0000 0.0000
0.0000 8.0995 0.2561
0.0000 -1.8732 8.1985
S Li Pu Y
6 2 2 2
direct
0.7500 0.9070 0.1341
0.2500 0.5886 0.8359
0.7500 0.4114 0.1641
0.7500 0.2117 0.4826
0.2500 0.7883 0.5174
0.2500 0.0930 0.8659
0.2500 0.0878 0.5811
0.7500 0.9122 0.4189
0.2500 0.6601 0.1739
0.7500 0.3399 0.8261
0.7500 0.8250 0.7856
0.2500 0.1750 0.2144
```



# 4
Cs3K3Sr | GGA-PBE | optimized geometry

The value obtained for the formation enthalpy at 0 K is 0.41 eV/atom. The value obtained for the total energy is -0.67 eV/atom.

Structure (POSCAR):
```
Cs3K3Sr
1.0
12.0932 0.0000 0.0000
0.0000 12.0932 0.0000
0.0000 0.0000 12.0932
Sr Cs K
2 6 6
direct
0.5000 0.5000 0.5000
0.0000 0.0000 0.0000
0.5000 0.2500 0.0000
0.7500 0.0000 0.5000
0.0000 0.5000 0.7500
0.0000 0.5000 0.2500
0.5000 0.7500 0.0000
0.2500 0.0000 0.5000
0.5000 0.0000 0.7500
0.0000 0.2500 0.5000
0.5000 0.0000 0.2500
0.2500 0.5000 0.0000
0.7500 0.5000 0.0000
0.0000 0.7500 0.5000
```



# 5
GeTePd | GGA-PBE | optimized geometry

The value obtained for the total energy is -4.27 eV/atom.

Structure (POSCAR):
```
GeTePd
1.0
3.8751 0.0000 0.0000
0.0000 3.8751 0.0000
-1.9376 -1.9376 4.2449
Ge Pd Te
1 1 1
direct
0.2787 0.2787 0.5573
0.9477 0.9477 0.8954
0.6236 0.6236 0.2473
```



# 6
Cs2Hg7Pb | GGA-PBE | optimized geometry

The value obtained for the formation enthalpy at 0 K is -0.19 eV/atom. The value obtained for the total energy is -0.94 eV/atom.

Structure (POSCAR):
```
Cs2Hg7Pb
1.0
5.3745 0.0000 0.0000
0.0000 5.3745 0.0000
0.0000 0.0000 12.5200
Hg Cs Pb
7 2 1
direct
0.5000 0.0000 0.3663
0.5000 0.5000 0.5000
0.5000 0.0000 0.1223
0.0000 0.5000 0.6337
0.0000 0.5000 0.8777
0.0000 0.0000 0.0000
0.0000 0.0000 0.5000
0.0000 0.5000 0.2526
0.5000 0.0000 0.7474
0.5000 0.5000 0.0000
```



# 7
PmPr6Tm12 | GGA-PBE | optimized geometry

The energy above the lowest structure with this stoichiometry is 0.000 eV/atom. The value obtained for the formation enthalpy at 0 K is 0.22 eV/atom. The value obtained for the total energy is -4.36 eV/atom.

Structure (POSCAR):
```
PmPr6Tm12
1.0
-8.5212 1.7732 0.5202
-0.2800 -5.9749 -6.3441
0.6513 -5.3675 6.8404
Tm Pr Pm
12 6 1
direct
0.5000 0.7548 0.2452
0.3550 0.0799 0.3550
0.6450 0.6450 0.9201
0.7548 0.2452 0.5000
0.5000 0.2452 0.7548
0.6450 0.9201 0.6450
0.9201 0.6450 0.6450
0.7548 0.5000 0.2452
0.2452 0.7548 0.5000
0.3550 0.3550 0.0799
0.0799 0.3550 0.3550
0.2452 0.5000 0.7548
0.8999 0.3459 0.8999
0.6541 0.1001 0.1001
0.8999 0.8999 0.3459
0.1001 0.1001 0.6541
0.3459 0.8999 0.8999
0.1001 0.6541 0.1001
0.0000 0.0000 0.0000
```



# 8
K2TmCuF6 | GGA-PBE | optimized geometry

The value obtained for the total energy is -5.17 eV/atom.

Structure (POSCAR):
```
K2TmCuF6
1.0
6.5753 0.0000 -0.0416
0.0000 6.8313 0.0000
-0.0066 0.0000 7.8871
Cu F K Tm
2 12 4 2
direct
0.0000 0.5000 0.0000
0.5000 0.0000 0.5000
0.3521 0.7266 0.0403
0.7199 0.3498 0.5337
0.2199 0.1502 0.0337
0.6479 0.2734 0.9597
0.0717 0.4666 0.7695
0.1479 0.2266 0.4597
0.2801 0.6502 0.4663
0.9283 0.5334 0.2305
0.7801 0.8498 0.9663
0.8521 0.7734 0.5403
0.4283 0.9666 0.7305
0.5717 0.0334 0.2695
0.0026 0.9497 0.2522
0.9974 0.0503 0.7478
0.4974 0.4497 0.2478
0.5026 0.5503 0.7522
0.0000 0.5000 0.5000
0.5000 0.0000 0.0000
```